A relaxed LiRhSe2Br crystal, computed with PBEsol.

Lattice parameters (Å, degrees): 4.7606 4.7606 5.3647 90.00 90.00 90.00
Closest atoms and distances in Å follow each position.
Positions (direct):
Li1 0.0000 0.0000 0.0000  4 Br 3.37, 8 Se 3.59
Rh1 0.5000 0.5000 0.5000  4 Se 2.38
Se1 0.0000 0.5000 0.5000  2 Rh 2.38
Se2 0.5000 0.0000 0.5000  2 Rh 2.38
Br1 0.5000 0.5000 0.0000  2 Rh 2.68

ΔE_f (raw) (meV per atom): -145


A relaxed TaInBi2Au crystal, computed with PBEsol.

Lattice parameters (Å, degrees): 5.4933 5.4933 5.1941 90.00 90.00 90.00
Closest atoms and distances in Å follow each position.
Positions (direct):
Ta1 0.0000 0.0000 0.0000  2 In 2.60
In1 0.0000 0.0000 0.5000  2 Ta 2.60, 4 Bi 2.75
Bi1 0.0000 0.5000 0.5000  2 In 2.75
Bi2 0.5000 0.0000 0.5000  2 In 2.75
Au1 0.5000 0.5000 0.0000  8 Bi 3.78, 4 Ta 3.88

Energy of formation from the pure elements (eV/atom): 1.616


A relaxed Tl3NiAs crystal, computed with PBEsol.

Lattice parameters (Å, degrees): 5.4702 5.4702 5.4702 90.00 90.00 90.00
Closest atoms and distances in Å follow each position.
Positions (direct):
Tl1 0.0000 0.0000 0.5000  2 As 2.74
Tl2 0.0000 0.5000 0.0000  2 As 2.74
Tl3 0.5000 0.0000 0.0000  2 As 2.74
Ni1 0.5000 0.5000 0.5000  12 Tl 3.87
As1 0.0000 0.0000 0.0000  6 Tl 2.74

Energy of formation from the pure elements (eV/atom): 0.999


A relaxed ZrFeTc3 crystal, computed with PBEsol.

Lattice parameters (Å, degrees): 4.6025 4.6025 4.6025 90.00 90.00 90.00
Closest atoms and distances in Å follow each position.
Positions (direct):
Zr1 0.0000 0.0000 0.0000  6 Tc 2.30
Fe1 0.5000 0.5000 0.5000  12 Tc 3.25
Tc1 0.0000 0.0000 0.5000  2 Zr 2.30
Tc2 0.0000 0.5000 0.0000  2 Zr 2.30
Tc3 0.5000 0.0000 0.0000  2 Zr 2.30

Energy of formation from the pure elements (eV/atom): 2.263


A relaxed CuAsRhBr2 crystal, computed with PBEsol.

Lattice parameters (Å, degrees): 4.7830 4.7830 4.6385 90.00 90.00 90.00
Closest atoms and distances in Å follow each position.
Positions (direct):
Cu1 0.0000 0.0000 0.0000  2 As 2.32, 4 Br 2.39
As1 0.0000 0.0000 0.5000  2 Cu 2.32
Rh1 0.5000 0.5000 0.5000  8 Br 3.33, 4 As 3.38
Br1 0.0000 0.5000 0.0000  2 Cu 2.39
Br2 0.5000 0.0000 0.0000  2 Cu 2.39

ΔE_f (raw) (meV per atom): 907


A relaxed NiRh3 crystal, computed with PBEsol.

Lattice parameters (Å, degrees): 2.6583 2.6583 8.4008 90.00 90.00 120.00
Closest atoms and distances in Å follow each position.
Positions (direct):
Ni1 0.0000 0.0000 0.0000  6 Rh 2.54, 6 Ni 2.66
Rh1 0.0000 0.0000 0.5000  12 Rh 2.66
Rh2 0.6667 0.3333 0.2415  3 Ni 2.54, 9 Rh 2.66
Rh3 0.6667 0.3333 0.7585  3 Ni 2.54, 9 Rh 2.66

Energy of formation from the pure elements (eV/atom): 0.076


A relaxed CaCdPb crystal, computed with PBEsol.

Lattice parameters (Å, degrees): 4.9787 4.9787 3.7522 90.00 90.00 120.00
Closest atoms and distances in Å follow each position.
Positions (direct):
Ca1 0.0000 0.0000 0.0000  6 Pb 3.28-3.60, 6 Cd 3.29-3.59
Cd1 0.3333 0.6667 0.4288  3 Pb 2.93
Pb1 0.6667 0.3333 0.5764  3 Cd 2.93

Energy of formation from the pure elements (eV/atom): -0.353


A relaxed YReNF2 crystal, computed with PBEsol.

Lattice parameters (Å, degrees): 4.2746 4.2746 3.8255 90.00 90.00 90.00
Closest atoms and distances in Å follow each position.
Positions (direct):
Y1 0.0000 0.0000 0.0000  8 F 2.87, 4 N 3.02
Re1 0.5000 0.5000 0.5000  2 N 1.91, 4 F 2.14
N1 0.5000 0.5000 0.0000  2 Re 1.91
F1 0.0000 0.5000 0.5000  2 Re 2.14
F2 0.5000 0.0000 0.5000  2 Re 2.14

ΔE_f (raw) (meV per atom): -907


A relaxed TmZn5 crystal, computed with PBEsol.

Lattice parameters (Å, degrees): 8.6692 8.6692 8.8472 90.00 90.00 120.00
Closest atoms and distances in Å follow each position.
Positions (direct):
Tm1 0.1889 0.3778 0.2500  14 Zn 2.98-3.23
Tm2 0.1889 0.8111 0.2500  14 Zn 2.98-3.23
Tm3 0.3778 0.1889 0.7500  14 Zn 2.98-3.23
Tm4 0.6222 0.8111 0.2500  14 Zn 2.98-3.23
Tm5 0.8111 0.1889 0.7500  14 Zn 2.98-3.23
Tm6 0.8111 0.6222 0.7500  14 Zn 2.98-3.23
Zn1 0.0000 0.0000 0.0000  6 Zn 2.54
Zn2 0.0000 0.0000 0.5000  6 Zn 2.54
Zn3 0.0000 0.5000 0.0000  8 Zn 2.43-2.68
Zn4 0.0000 0.5000 0.5000  8 Zn 2.43-2.68
Zn5 0.1353 0.5676 0.7500  8 Zn 2.43-2.65
Zn6 0.1605 0.3210 0.5924  7 Zn 2.54-2.79
Zn7 0.1605 0.3210 0.9076  7 Zn 2.54-2.79
Zn8 0.1605 0.8395 0.5924  7 Zn 2.54-2.79
Zn9 0.1605 0.8395 0.9076  7 Zn 2.54-2.79
Zn10 0.3210 0.1605 0.0924  7 Zn 2.54-2.79
Zn11 0.3210 0.1605 0.4076  7 Zn 2.54-2.79
Zn12 0.3333 0.6667 0.0183  9 Zn 2.51-2.80
Zn13 0.3333 0.6667 0.4817  9 Zn 2.51-2.80
Zn14 0.4324 0.5676 0.7500  8 Zn 2.43-2.65
Zn15 0.4324 0.8647 0.7500  8 Zn 2.43-2.65
Zn16 0.5000 0.0000 0.0000  8 Zn 2.43-2.68
Zn17 0.5000 0.0000 0.5000  8 Zn 2.43-2.68
Zn18 0.5000 0.5000 0.0000  8 Zn 2.43-2.68
Zn19 0.5000 0.5000 0.5000  8 Zn 2.43-2.68
Zn20 0.5676 0.1353 0.2500  8 Zn 2.43-2.65
Zn21 0.5676 0.4324 0.2500  8 Zn 2.43-2.65
Zn22 0.6667 0.3333 0.5183  9 Zn 2.51-2.80
Zn23 0.6667 0.3333 0.9817  9 Zn 2.51-2.80
Zn24 0.6790 0.8395 0.5924  7 Zn 2.54-2.79
Zn25 0.6790 0.8395 0.9076  7 Zn 2.54-2.79
Zn26 0.8395 0.1605 0.0924  7 Zn 2.54-2.79
Zn27 0.8395 0.1605 0.4076  7 Zn 2.54-2.79
Zn28 0.8395 0.6790 0.0924  7 Zn 2.54-2.79
Zn29 0.8395 0.6790 0.4076  7 Zn 2.54-2.79
Zn30 0.8647 0.4324 0.2500  8 Zn 2.43-2.65

Energy of formation from the pure elements (eV/atom): -0.281


A relaxed EuNpO3 crystal, computed with PBEsol.

Lattice parameters (Å, degrees): 6.0355 8.3991 5.8690 90.00 90.00 90.00
Closest atoms and distances in Å follow each position.
Positions (direct):
Eu1 0.0513 0.2500 0.0165  4 O 2.40-2.53
Eu2 0.4487 0.7500 0.5165  4 O 2.40-2.53
Eu3 0.5513 0.2500 0.4835  4 O 2.40-2.53
Eu4 0.9487 0.7500 0.9835  4 O 2.40-2.53
Np1 0.0000 0.0000 0.5000  6 O 2.21-2.24
Np2 0.0000 0.5000 0.5000  6 O 2.21-2.24
Np3 0.5000 0.0000 0.0000  6 O 2.21-2.24
Np4 0.5000 0.5000 0.0000  6 O 2.21-2.24
O1 0.0521 0.7500 0.3779  2 Np 2.24, 1 Eu 2.40
O2 0.2012 0.5666 0.8004  2 Np 2.21-2.22, 1 Eu 2.42
O3 0.2012 0.9334 0.8004  2 Np 2.21-2.22, 1 Eu 2.42
O4 0.2988 0.0666 0.3004  2 Np 2.21-2.22, 1 Eu 2.42
O5 0.2988 0.4334 0.3004  2 Np 2.21-2.22, 1 Eu 2.42
O6 0.4479 0.2500 0.8779  2 Np 2.24, 1 Eu 2.40
O7 0.5521 0.7500 0.1221  2 Np 2.24, 1 Eu 2.40
O8 0.7012 0.5666 0.6996  2 Np 2.21-2.22, 1 Eu 2.42
O9 0.7012 0.9334 0.6996  2 Np 2.21-2.22, 1 Eu 2.42
O10 0.7988 0.0666 0.1996  2 Np 2.21-2.22, 1 Eu 2.42
O11 0.7988 0.4334 0.1996  2 Np 2.21-2.22, 1 Eu 2.42
O12 0.9479 0.2500 0.6221  2 Np 2.24, 1 Eu 2.40

ΔE_f (raw) (meV per atom): -2951


A relaxed Ba2NaHg2 crystal, computed with PBEsol.

Lattice parameters (Å, degrees): 9.0859 9.0859 4.3933 90.00 90.00 90.00
Closest atoms and distances in Å follow each position.
Positions (direct):
Ba1 0.1602 0.3398 0.0000  6 Hg 3.44-3.47
Ba2 0.3398 0.8398 0.0000  6 Hg 3.44-3.47
Ba3 0.6602 0.1602 0.0000  6 Hg 3.44-3.47
Ba4 0.8398 0.6602 0.0000  6 Hg 3.44-3.47
Na1 0.0000 0.0000 0.5000  4 Hg 3.54
Na2 0.5000 0.5000 0.5000  4 Hg 3.54
Hg1 0.1339 0.6339 0.5000  6 Ba 3.44-3.47, 1 Hg 3.44, 2 Na 3.54
Hg2 0.3661 0.1339 0.5000  6 Ba 3.44-3.47, 1 Hg 3.44, 2 Na 3.54
Hg3 0.6339 0.8661 0.5000  6 Ba 3.44-3.47, 1 Hg 3.44, 2 Na 3.54
Hg4 0.8661 0.3661 0.5000  6 Ba 3.44-3.47, 1 Hg 3.44, 2 Na 3.54

Energy of formation from the pure elements (eV/atom): -0.414


A relaxed LiFeP4O12 crystal, computed with PBEsol.

Lattice parameters (Å, degrees): 8.2232 8.2232 7.3931 98.10 98.10 110.91
Closest atoms and distances in Å follow each position.
Positions (direct):
Li1 0.1445 0.8555 0.5000  3 O 1.86-2.06
Li2 0.8555 0.1445 0.0000  3 O 1.86-2.06
Fe1 0.1840 0.4429 0.0453  6 O 1.89-1.94
Fe2 0.4429 0.1840 0.5453  6 O 1.89-1.94
P1 0.0819 0.7270 0.8753  4 O 1.47-1.62
P2 0.1012 0.2543 0.6268  4 O 1.51-1.59
P3 0.2543 0.1012 0.1268  4 O 1.51-1.59
P4 0.3569 0.5129 0.4637  4 O 1.50-1.60
P5 0.5129 0.3569 0.9637  4 O 1.50-1.60
P6 0.5657 0.8934 0.6272  4 O 1.47-1.61
P7 0.7270 0.0819 0.3753  4 O 1.47-1.62
P8 0.8934 0.5657 0.1272  4 O 1.47-1.61
O1 0.0456 0.3036 0.8062  1 P 1.51
O2 0.0563 0.7197 0.6733  1 P 1.47
O3 0.1336 0.9319 0.9759  2 P 1.56-1.62
O4 0.1531 0.2237 0.1306  1 P 1.52
O5 0.1833 0.4298 0.5471  2 P 1.59-1.60
O6 0.2151 0.6636 0.9754  1 P 1.52
O7 0.2237 0.1531 0.6306  1 P 1.52
O8 0.3036 0.0456 0.3062  1 P 1.51
O9 0.3091 0.5738 0.2883  1 P 1.51
O10 0.3919 0.4573 0.9555  1 P 1.50
O11 0.4134 0.9606 0.6118  1 P 1.54
O12 0.4298 0.1833 0.0471  2 P 1.59-1.60
O13 0.4573 0.3919 0.4555  1 P 1.50
O14 0.4720 0.6850 0.6202  2 P 1.58-1.60
O15 0.5738 0.3091 0.7883  1 P 1.51
O16 0.6313 0.8938 0.4314  2 P 1.61
O17 0.6636 0.2151 0.4754  1 P 1.52
O18 0.6850 0.4720 0.1202  2 P 1.58-1.60
O19 0.7177 0.9753 0.7860  1 P 1.47
O20 0.7197 0.0563 0.1733  1 P 1.47
O21 0.8938 0.6313 0.9314  2 P 1.61
O22 0.9319 0.1336 0.4759  2 P 1.56-1.62
O23 0.9606 0.4134 0.1118  1 P 1.54
O24 0.9753 0.7177 0.2860  1 P 1.47

ΔE_f (raw) (meV per atom): -2002


A relaxed LaTlSi2 crystal, computed with PBEsol.

Lattice parameters (Å, degrees): 3.7487 3.7487 6.4311 90.00 90.00 90.00
Closest atoms and distances in Å follow each position.
Positions (direct):
La1 0.0000 0.0000 0.0000  2 Tl 3.22, 8 Si 3.30
Tl1 0.0000 0.0000 0.5000  8 Si 2.93, 2 La 3.22
Si1 0.5000 0.5000 0.3051  1 Si 2.51
Si2 0.5000 0.5000 0.6949  1 Si 2.51

ΔE_f (raw) (meV per atom): -85


A relaxed KSbS2 crystal, computed with PBEsol.

Lattice parameters (Å, degrees): 7.8703 7.8703 7.8703 129.49 129.49 74.22
Closest atoms and distances in Å follow each position.
Positions (direct):
K1 0.0000 0.0000 0.0000  4 S 3.15
K2 0.7500 0.2500 0.5000  4 S 3.15
Sb1 0.2500 0.7500 0.5000  4 S 2.60
Sb2 0.5000 0.5000 0.0000  4 S 2.60
S1 0.1950 0.6250 0.0700  2 Sb 2.60
S2 0.3750 0.4450 0.5700  2 Sb 2.60
S3 0.5550 0.1250 0.9300  2 Sb 2.60
S4 0.8750 0.8050 0.4300  2 Sb 2.60

ΔE_f (raw) (meV per atom): -496


A relaxed TaTePdF2 crystal, computed with PBEsol.

Lattice parameters (Å, degrees): 4.1679 4.1679 5.3549 90.00 90.00 90.00
Closest atoms and distances in Å follow each position.
Positions (direct):
Ta1 0.0000 0.0000 0.0000  4 Pd 2.95
Te1 0.5000 0.5000 0.5000  4 F 2.08
Pd1 0.5000 0.5000 0.0000  2 Te 2.68, 4 Ta 2.95
F1 0.0000 0.5000 0.5000  2 Te 2.08
F2 0.5000 0.0000 0.5000  2 Te 2.08

ΔE_f (raw) (meV per atom): 78


A relaxed Zn3PdBr crystal, computed with PBEsol.

Lattice parameters (Å, degrees): 4.8312 4.8312 4.8312 90.00 90.00 90.00
Closest atoms and distances in Å follow each position.
Positions (direct):
Zn1 0.0000 0.0000 0.5000  2 Br 2.42
Zn2 0.0000 0.5000 0.0000  2 Br 2.42
Zn3 0.5000 0.0000 0.0000  2 Br 2.42
Pd1 0.5000 0.5000 0.5000  12 Zn 3.42
Br1 0.0000 0.0000 0.0000  6 Zn 2.42

ΔE_f (raw) (meV per atom): 1049


A relaxed HfV2Mo crystal, computed with PBEsol.

Lattice parameters (Å, degrees): 4.4221 4.4221 4.4221 60.00 60.00 60.00
Closest atoms and distances in Å follow each position.
Positions (direct):
Hf1 0.0000 0.0000 0.0000  8 V 2.71
V1 0.2500 0.2500 0.2500  4 Hf 2.71, 4 Mo 2.71
V2 0.7500 0.7500 0.7500  4 Hf 2.71, 4 Mo 2.71
Mo1 0.5000 0.5000 0.5000  8 V 2.71

Energy of formation from the pure elements (eV/atom): 0.087


A relaxed Ir2SeCl crystal, computed with PBEsol.

Lattice parameters (Å, degrees): 4.2807 4.2807 5.2525 100.18 100.18 40.75
Closest atoms and distances in Å follow each position.
Positions (direct):
Ir1 0.2441 0.2441 0.2339  3 Se 2.58, 3 Cl 2.61-2.70
Ir2 0.7559 0.7559 0.7661  3 Se 2.58, 3 Cl 2.61-2.70
Se1 0.5000 0.5000 0.0000  6 Ir 2.58
Cl1 0.0000 0.0000 0.5000  6 Ir 2.61-2.70

ΔE_f (raw) (meV per atom): 603


A relaxed Te2MoCl crystal, computed with PBEsol.

Lattice parameters (Å, degrees): 11.4347 11.4347 11.4347 15.26 15.26 15.26
Closest atoms and distances in Å follow each position.
Positions (direct):
Te1 0.0805 0.0805 0.0805  1 Mo 2.73, 6 Te 3.04
Te2 0.9195 0.9195 0.9195  1 Mo 2.73, 6 Te 3.04
Mo1 0.0000 0.0000 0.0000  2 Te 2.73, 6 Mo 3.04
Cl1 0.5000 0.5000 0.5000  6 Cl 3.04

ΔE_f (raw) (meV per atom): 622


A relaxed BaTcCl2 crystal, computed with PBEsol.

Lattice parameters (Å, degrees): 6.4755 6.4755 6.4755 142.21 142.21 54.51
Closest atoms and distances in Å follow each position.
Positions (direct):
Ba1 0.0000 0.0000 0.0000  4 Cl 2.97
Tc1 0.2500 0.7500 0.5000  4 Cl 2.97
Cl1 0.5000 0.5000 0.0000  4 Ba 2.97
Cl2 0.7500 0.2500 0.5000  4 Tc 2.97

ΔE_f (raw) (meV per atom): -174


A relaxed InSi2P crystal, computed with PBEsol.

Lattice parameters (Å, degrees): 4.8528 4.8528 3.3321 90.00 90.00 114.13
Closest atoms and distances in Å follow each position.
Positions (direct):
In1 0.0000 0.0000 0.0000  2 P 2.64, 4 Si 2.84
Si1 0.2828 0.7171 0.5000  2 P 2.43, 2 Si 2.69
Si2 0.7171 0.2828 0.5000  2 P 2.43, 2 Si 2.69
P1 0.5000 0.5000 0.0000  4 Si 2.43, 2 In 2.64

ΔE_f (raw) (meV per atom): 180


A relaxed ZrCuRu2Pb crystal, computed with PBEsol.

Lattice parameters (Å, degrees): 4.6537 4.6537 5.5100 90.00 90.00 90.00
Closest atoms and distances in Å follow each position.
Positions (direct):
Zr1 0.0000 0.0000 0.0000  4 Ru 2.33
Cu1 0.5000 0.5000 0.5000  4 Pb 3.29, 8 Ru 3.61
Ru1 0.0000 0.5000 0.0000  2 Zr 2.33
Ru2 0.5000 0.0000 0.0000  2 Zr 2.33
Pb1 0.0000 0.0000 0.5000  2 Zr 2.76

Energy of formation from the pure elements (eV/atom): 1.663


A relaxed BeCrRe2Se crystal, computed with PBEsol.

Lattice parameters (Å, degrees): 4.4511 4.4511 3.9642 90.00 90.00 90.00
Closest atoms and distances in Å follow each position.
Positions (direct):
Be1 0.0000 0.0000 0.0000  2 Cr 1.98
Cr1 0.0000 0.0000 0.5000  2 Be 1.98
Re1 0.0000 0.5000 0.5000  2 Cr 2.23
Re2 0.5000 0.0000 0.5000  2 Cr 2.23
Se1 0.5000 0.5000 0.0000  8 Re 2.98, 4 Be 3.15

ΔE_f (raw) (meV per atom): 1508


A relaxed Fe2SiSe crystal, computed with PBEsol.

Lattice parameters (Å, degrees): 5.8900 5.8900 5.8900 152.63 146.36 43.90
Closest atoms and distances in Å follow each position.
Positions (direct):
Fe1 0.0000 0.0000 0.0000  4 Si 2.32, 2 Se 2.40
Fe2 0.7867 0.2867 0.5000  2 Si 2.34, 4 Se 2.50
Si1 0.4335 0.4335 0.0000  6 Fe 2.32-2.34
Se1 0.1787 0.6787 0.5000  6 Fe 2.40-2.50

ΔE_f (raw) (meV per atom): -110


A relaxed BaGaTe2I crystal, computed with PBEsol.

Lattice parameters (Å, degrees): 5.3939 5.3939 5.8193 90.00 90.00 90.00
Closest atoms and distances in Å follow each position.
Positions (direct):
Ba1 0.0000 0.0000 0.0000  4 I 3.81, 8 Te 3.97
Ga1 0.5000 0.5000 0.5000  4 Te 2.70, 2 I 2.91
Te1 0.0000 0.5000 0.5000  2 Ga 2.70
Te2 0.5000 0.0000 0.5000  2 Ga 2.70
I1 0.5000 0.5000 0.0000  2 Ga 2.91

ΔE_f (raw) (meV per atom): -770